Record 1
# CdPb, relaxed, DFT PBE
data_CdPb
_chemical_formula_sum 'Cd6 Pb6'
_cell_length_a 14.0628
_cell_length_b 3.4615
_cell_length_c 6.9717
_cell_angle_alpha 90.00
_cell_angle_beta 102.77
_cell_angle_gamma 90.00
_space_group_name_H-M_alt 'C 1 m 1'
_space_group_IT_number 8
_space_group_name_Hall 'C -2y'
loop_
_atom_site_label
_atom_site_type_symbol
_atom_site_fract_x
_atom_site_fract_y
_atom_site_fract_z
Cd1 Cd 0.0000 0.0000 0.0000
Cd2 Cd 0.0030 0.0000 0.5612
Cd3 Cd 0.3458 0.0000 0.6934
Pb1 Pb 0.1563 0.5000 0.3559
Pb2 Pb 0.1816 0.5000 0.8603
Pb3 Pb 0.3566 0.0000 0.2145
# DOS(E_F), states/eV per cell: 5.96
# VASP energy, eV/atom: -2.271

Record 2
# CdPb5, relaxed, DFT PBE
data_CdPb5
_chemical_formula_sum 'Cd2 Pb10'
_cell_length_a 4.8967
_cell_length_b 14.8046
_cell_length_c 5.0248
_cell_angle_alpha 90.00
_cell_angle_beta 90.00
_cell_angle_gamma 90.00
_space_group_name_H-M_alt 'C m m m'
_space_group_IT_number 65
_space_group_name_Hall '-C 2 2'
loop_
_atom_site_label
_atom_site_type_symbol
_atom_site_fract_x
_atom_site_fract_y
_atom_site_fract_z
Cd1 Cd 0.0000 0.0000 0.0000
Pb1 Pb 0.0000 0.1628 0.5000
Pb2 Pb 0.0000 0.3368 0.0000
Pb3 Pb 0.0000 0.5000 0.5000
# DOS(E_F), states/eV per cell: 6.29
# VASP energy, eV/atom: -3.223

Record 3
# CdPb, relaxed, DFT PBE
data_CdPb
_chemical_formula_sum 'Cd2 Pb2'
_cell_length_a 3.4285
_cell_length_b 3.4285
_cell_length_c 10.8631
_cell_angle_alpha 90.00
_cell_angle_beta 90.00
_cell_angle_gamma 120.00
_space_group_name_H-M_alt 'P -3 m 1'
_space_group_IT_number 164
_space_group_name_Hall '-P 3 2"'
loop_
_atom_site_label
_atom_site_type_symbol
_atom_site_fract_x
_atom_site_fract_y
_atom_site_fract_z
Cd1 Cd 0.3333 0.6667 0.1098
Pb1 Pb 0.3333 0.6667 0.6413
# DOS(E_F), states/eV per cell: 1.18
# VASP energy, eV/atom: -2.276

Record 4
# CdPb, relaxed, DFT PBE
data_CdPb
_chemical_formula_sum 'Cd3 Pb3'
_cell_length_a 7.1521
_cell_length_b 7.1521
_cell_length_c 3.9578
_cell_angle_alpha 90.00
_cell_angle_beta 90.00
_cell_angle_gamma 120.00
_space_group_name_H-M_alt 'P -6 2 m'
_space_group_IT_number 189
_space_group_name_Hall 'P -6 -2'
loop_
_atom_site_label
_atom_site_type_symbol
_atom_site_fract_x
_atom_site_fract_y
_atom_site_fract_z
Cd1 Cd 0.0000 0.7605 0.0000
Pb1 Pb 0.0000 0.4276 0.5000
# DOS(E_F), states/eV per cell: 2.10
# VASP energy, eV/atom: -2.247

Record 5
# CdPb5, relaxed, DFT PBE
data_CdPb5
_chemical_formula_sum 'Cd1 Pb5'
_cell_length_a 5.9312
_cell_length_b 5.9312
_cell_length_c 6.0245
_cell_angle_alpha 90.00
_cell_angle_beta 90.00
_cell_angle_gamma 120.00
_space_group_name_H-M_alt 'P -6 2 m'
_space_group_IT_number 189
_space_group_name_Hall 'P -6 -2'
loop_
_atom_site_label
_atom_site_type_symbol
_atom_site_fract_x
_atom_site_fract_y
_atom_site_fract_z
Cd1 Cd 0.0000 0.0000 0.0000
Pb1 Pb 0.0000 0.6667 0.5000
Pb2 Pb 0.3333 0.6667 0.0000
# DOS(E_F), states/eV per cell: 2.53
# VASP energy, eV/atom: -3.198

Record 6
# Cd12Pb, relaxed, DFT PBE
data_Cd12Pb
_chemical_formula_sum 'Cd48 Pb4'
_cell_length_a 12.0825
_cell_length_b 12.0825
_cell_length_c 12.0825
_cell_angle_alpha 90.00
_cell_angle_beta 90.00
_cell_angle_gamma 90.00
_space_group_name_H-M_alt 'F m -3 m'
_space_group_IT_number 225
_space_group_name_Hall '-F 4 2 3'
loop_
_atom_site_label
_atom_site_type_symbol
_atom_site_fract_x
_atom_site_fract_y
_atom_site_fract_z
Cd1 Cd 0.0000 0.1701 0.1701
Pb1 Pb 0.0000 0.0000 0.5000
# DOS(E_F), states/eV per cell: 27.99
# VASP energy, eV/atom: -0.778

- The highest VASP energy belongs to which entry?
  Cd12Pb

- The highest VASP energy belongs to which entry?
  Cd12Pb